VASP calculation (PBE) on a relaxed RbTl2SbBr8 crystal.

Results
Space-group type: P-1, No. 2
DOS at the Fermi energy: 0.53 states/eV/atom
Volume: 39.9 A^3/atom
Energy relative to the elements, uncorrected: -734 meV/atom

Cell lengths 7.1970, 6.9818, 9.5406 Å; angles 89.88, 89.93, 88.88 degrees
With the nearest neighbours (Å) after each atom.
Positions (direct):
1 Rb 0.0000 0.0000 0.5000  6 Br 3.34-3.45
2 Tl 0.4996 0.4994 0.7494  6 Br 2.97-3.32
3 Tl 0.5004 0.5006 0.2506  6 Br 2.97-3.32
4 Sb 0.0000 0.0000 0.0000  6 Br 2.77-2.79
5 Br 0.1720 0.7758 0.2033  1 Sb 2.77, 1 Tl 3.05
6 Br 0.7004 0.7520 0.0000  1 Sb 2.79
7 Br 0.8272 0.2234 0.2030  1 Sb 2.77, 1 Tl 3.05
8 Br 0.8280 0.2242 0.7967  1 Sb 2.77, 1 Tl 3.05
9 Br 0.2996 0.2480 0.0000  1 Sb 2.79
10 Br 0.1728 0.7766 0.7970  1 Sb 2.77, 1 Tl 3.05
11 Br 0.6338 0.7125 0.4999  2 Tl 2.97
12 Br 0.3662 0.2875 0.5001  2 Tl 2.97

VASP calculation (PBE) on a relaxed Cs3Pd crystal.

Results
Space-group type: Pmm2, No. 25
DOS at the Fermi energy: 0.51 states/eV/atom
Volume: 66.6 A^3/atom

Cell lengths 5.0300, 5.0396, 10.5100 Å; angles 90.00, 90.00, 90.00 degrees
With the nearest neighbours (Å) after each atom.
Positions (direct):
1 Cs 0.0000 0.5000 0.3757  2 Cs 3.97, 2 Pd 4.00
2 Cs 0.5000 0.5000 0.0839  4 Pd 3.56, 4 Cs 3.96-3.97
3 Cs 0.5000 0.0000 0.7932  2 Pd 3.93, 2 Cs 3.96
4 Pd 0.0000 0.0000 0.0806  6 Cs 3.56-3.93

| no. | mass density (g/cm³) | final energy (eV per atom) |
| --- | --- | --- |
| 1 | 4.35 | -2.67 |
| 2 | 3.15 | -1.76 |